1.
DFT (PBE-GGA) results for a geometry-optimized Co2Ag structure.

Output
Offset from the most stable computed form (meV/atom): 126
Crystal system: orthorhombic
VASP energy (eV/atom): -5.293
E_form (eV/f.u.): 1.184
Volume (Å³/cell): 159.60

a b c (Å): 2.682 13.510 4.405
angles (deg): 90.00 90.00 90.00
Space group Cmcm (No. 63)
Unique sites:
Co (0.000, 0.064, 0.250)
Co (0.000, 0.282, 0.750)
Ag (0.000, 0.392, 0.250)

2.
DFT (PBE-GGA) results for a geometry-optimized ReTcHg2Bi structure.

Output
Crystal system: tetragonal
VASP energy (eV/atom): -3.182
E_form (eV/f.u.): 11.387
Volume (Å³/cell): 168.98

a b c (Å): 5.671 5.671 5.254
angles (deg): 90.00 90.00 90.00
Space group P4/mmm (No. 123)
Unique sites:
Re (0.000, 0.000, 0.000)
Tc (0.500, 0.500, 0.000)
Hg (0.000, 0.500, 0.500)
Bi (0.000, 0.000, 0.500)

3.
DFT (PBE-GGA) results for a geometry-optimized Rb2NaLiMo structure.

Output
Crystal system: tetragonal
VASP energy (eV/atom): -2.031
E_form (eV/f.u.): 5.844
Volume (Å³/cell): 314.49

a b c (Å): 7.138 7.138 6.173
angles (deg): 90.00 90.00 90.00
Space group P4/mmm (No. 123)
Unique sites:
Rb (0.000, 0.500, 0.000)
Na (0.000, 0.000, 0.500)
Li (0.500, 0.500, 0.500)
Mo (0.000, 0.000, 0.000)

4.
DFT (PBE-GGA) results for a geometry-optimized AuSNO2 structure.

Output
Crystal system: tetragonal
VASP energy (eV/atom): -3.557
Formation energy (no corrections) (eV per formula unit): 7.860
Volume (Å³/cell): 66.16

a b c (Å): 4.042 4.042 4.051
angles (deg): 90.00 90.00 90.00
Space group P4/mmm (No. 123)
Unique sites:
Au (0.000, 0.000, 0.000)
S (0.500, 0.500, 0.500)
N (0.000, 0.000, 0.500)
O (0.000, 0.500, 0.000)

5.
DFT (PBE-GGA) results for a geometry-optimized CaTaPt structure.

Output
Offset from the most stable computed form (meV/atom): 303
Crystal system: cubic
VASP energy (eV/atom): -6.535
E_form (eV/f.u.): 0.289
Volume (Å³/cell): 275.85

a b c (Å): 6.510 6.510 6.510
angles (deg): 90.00 90.00 90.00
Space group F-43m (No. 216)
Unique sites:
Ca (0.000, 0.000, 0.000)
Ta (0.000, 0.000, 0.500)
Pt (0.250, 0.250, 0.250)

6.
DFT (PBE-GGA) results for a geometry-optimized SbTe2W structure.

Output
Crystal system: monoclinic
VASP energy (eV/atom): -5.619
Formation energy (no corrections) (eV per formula unit): 0.885
Volume (Å³/cell): 222.90

a b c (Å): 9.891 3.445 6.957
angles (deg): 90.00 109.89 90.00
Space group Cm (No. 8)
Unique sites:
Sb (0.000, 0.000, 0.000)
Te (0.170, 0.000, 0.672)
Te (0.356, 0.000, 0.323)
W (0.216, 0.500, 0.002)